(1)
Computed, not measured: K3GaI4 after structural relaxation at the PBE-GGA level of DFT.

Cell and atoms, written as POSCAR:
```
K3GaI4
1.0
-2.5315 -3.5537 5.5349
3.1871 -8.7605 -4.1670
10.6645 1.1948 5.6448
K Ga I
6 2 8
direct
0.5617 0.8411 0.0000
0.0615 0.6700 0.2456
0.5615 0.3300 0.2544
0.0617 0.1589 0.5000
0.5615 0.3300 0.7456
0.0615 0.6700 0.7544
0.0435 0.1761 0.0000
0.5435 0.8239 0.5000
0.0618 0.8543 0.0000
0.6019 0.1789 0.0000
0.0617 0.3253 0.2450
0.5617 0.6747 0.2550
0.1019 0.8211 0.5000
0.5618 0.1457 0.5000
0.5617 0.6747 0.7450
0.0617 0.3253 0.7550
```

Computed properties:
Energy relative to the elements, uncorrected   -1152 meV per atom
Total DFT energy (no corrections)   -2.717 eV/atom
Polymorph energy (0 for the lowest one)   36 meV per atom

(2)
Computed, not measured: K3GaI6 after structural relaxation at the PBE-GGA level of DFT.

Cell and atoms, written as POSCAR:
```
K3GaI6
1.0
8.3172 0.0000 0.1643
0.0000 8.8847 0.0000
0.3351 0.0000 11.7836
K Ga I
6 2 12
direct
0.5340 0.9192 0.7601
0.5000 0.5000 0.0000
0.4660 0.0808 0.2399
0.0340 0.5808 0.2601
0.0000 0.0000 0.5000
0.9660 0.4192 0.7399
0.5000 0.5000 0.5000
0.0000 0.0000 0.0000
0.7229 0.1713 0.9512
0.6583 0.2312 0.5738
0.6277 0.4483 0.2787
0.3723 0.5517 0.7213
0.3417 0.7688 0.4262
0.2771 0.8287 0.0488
0.2229 0.3287 0.4512
0.1583 0.2688 0.0738
0.1277 0.0517 0.7787
0.8723 0.9483 0.2213
0.8417 0.7312 0.9262
0.7771 0.6713 0.5488
```

Computed properties:
Energy relative to the elements, uncorrected   -1000 meV per atom
Total DFT energy (no corrections)   -2.562 eV/atom
Polymorph energy (0 for the lowest one)   62 meV per atom

(3)
Computed, not measured: K2LiGaI4 after structural relaxation at the PBE-GGA level of DFT.

Cell and atoms, written as POSCAR:
```
K2LiGaI4
1.0
-0.9883 -3.3516 3.2428
3.1406 -5.8321 -5.0706
8.0880 -0.8604 1.5758
K Li Ga I
2 1 1 4
direct
0.0000 0.0000 0.0000
0.5000 0.0000 0.5000
0.5000 0.5000 0.0000
0.0000 0.5000 0.5000
0.0000 0.7175 0.7718
0.0000 0.2825 0.2282
0.5000 0.7202 0.2427
0.5000 0.2798 0.7573
```

Computed properties:
Energy relative to the elements, uncorrected   -1089 meV per atom
Total DFT energy (no corrections)   -2.756 eV/atom

(4)
Computed, not measured: KLiGa2I8 after structural relaxation at the PBE-GGA level of DFT.

Cell and atoms, written as POSCAR:
```
KLiGa2I8
1.0
7.3616 0.0000 0.0000
3.6808 6.3753 0.0000
3.6808 2.1251 10.6410
K Li Ga I
1 1 2 8
direct
0.5000 0.5000 0.5000
0.0000 0.0000 0.0000
0.2515 0.2515 0.2456
0.7485 0.7485 0.7544
0.1706 0.1706 0.4883
0.6104 0.2806 0.1722
0.8294 0.8294 0.5117
0.9368 0.6104 0.1722
0.0632 0.3896 0.8278
0.2806 0.9368 0.1722
0.7194 0.0632 0.8278
0.3896 0.7194 0.8278
```

Computed properties:
Energy relative to the elements, uncorrected   -766 meV per atom
Total DFT energy (no corrections)   -2.555 eV/atom